This record from Alexandria via LeMat-Bulk describes a relaxed structure of HfCuPtRh. The functional is PBE.

Cell: 3.7018 3.9817 4.1633 Å, 90.00 90.00 90.00°
Space group Pmmm (No. 47)
Unique sites:
Hf1 0.0000 0.0000 0.0000
Cu1 0.0000 0.5000 0.5000
Pt1 0.5000 0.0000 0.5000
Rh1 0.5000 0.5000 0.0000

Summary:
DOS at the Fermi energy (states/eV per cell): 0.62
Distance to the lowest polymorph of the same formula (eV per atom): 0.000
Total moment (Bohr magnetons per cell): 0.00
Volume (Å³ per cell): 61.4
Energy of formation (kJ per mole of atoms): -79.1